Crystalline SrLiMo2 at its relaxed geometry. Source: Alexandria via LeMat-Bulk, functional PBE-GGA.

Cell: 4.752 4.752 4.752 Å, 119.99 119.99 90.02°
Last column: magnetic moment on the atom in μB.
Atoms (fractional coordinates):
1 Li 0.750 0.250 0.500  0.00
2 Mo 0.000 0.000 0.000  0.53
3 Mo 0.250 0.750 0.500  -0.23
4 Sr 0.500 0.500 0.000  0.01

Results
* excess energy over the best structure of this formula in the dataset: 0.348 eV per atom
* total energy: -0.2008 Ha/atom